Below is an optimized crystal structure of KTl10In2, with properties calculated at the PBE level.

Lattice parameters (Å, degrees): 6.452 8.678 8.644 82.02 68.09 68.17
Positions (direct):
Tl (0.496, 0.217, 0.791)
Tl (0.287, 0.217, 0.209)
K (0.000, 0.000, 0.000)
Tl (0.996, 0.360, 0.649)
Tl (0.355, 0.640, 0.649)
Tl (0.004, 0.640, 0.351)
In (0.000, 0.500, 0.000)
Tl (0.000, 0.000, 0.500)
Tl (0.504, 0.783, 0.209)
Tl (0.500, 0.000, 0.500)
Tl (0.645, 0.360, 0.351)
Tl (0.713, 0.783, 0.791)
In (0.500, 0.500, 0.000)

Values from the calculation:
- volume (Å³/atom) = 32.066
- energy (eV/atom) = -2.337
- space-group type = No. 69
- formation energy (meV/atom) = -11

---

Below is an optimized crystal structure of KLa2Pb, with properties calculated at the PBE level.

Lattice parameters (Å, degrees): 3.709 3.709 11.964 90.00 90.00 90.10
Positions (direct):
La (0.000, 0.000, 0.066)
Pb (0.500, 0.500, 0.250)
K (0.500, 0.500, 0.750)
La (0.000, 0.000, 0.434)

Values from the calculation:
- volume (Å³/atom) = 41.146
- energy (eV/atom) = -3.749
- space-group type = No. 65
- formation energy (meV/atom) = -84